A relaxed MgZr3H crystal. Source: Alexandria via LeMat-Bulk, functional PBE.

Lattice parameters (Å, degrees): 4.5010 4.5010 4.5010 90.00 90.00 90.00
Positions (direct):
Zr 0.0000 0.5000 0.0000
Zr 0.5000 0.0000 0.0000
Zr 0.0000 0.0000 0.5000
Mg 0.5000 0.5000 0.5000
H 0.0000 0.0000 0.0000

Computed properties:
**Distance to the lowest polymorph of the same formula**: 0 meV/atom

=====

A relaxed La6Pm2SmTm crystal. Source: Alexandria via LeMat-Bulk, functional PBE.

Lattice parameters (Å, degrees): 9.2868 9.1443 9.1443 114.44 90.02 90.02
Positions (direct):
La 0.9071 0.9255 0.2223
La 0.5929 0.7777 0.0745
La 0.9062 0.2807 0.5701
La 0.5938 0.4299 0.7193
La 0.1808 0.5328 0.9692
La 0.4071 0.2223 0.9255
La 0.4062 0.5701 0.2807
La 0.0929 0.0745 0.7777
La 0.3192 0.0308 0.4672
La 0.6808 0.9692 0.5328
La 0.8192 0.4672 0.0308
La 0.0938 0.7193 0.4299
Pm 0.0640 0.2959 0.2061
Pm 0.9360 0.7041 0.7939
Pm 0.5640 0.2061 0.2959
Pm 0.4360 0.7939 0.7041
Tm 0.2500 0.4319 0.5681
Tm 0.7500 0.5681 0.4319
Sm 0.2500 0.9312 0.0688
Sm 0.7500 0.0688 0.9312

Computed properties:
**Formation energy**: 110 meV/atom

=====

A relaxed DyScIn2 crystal. Source: Alexandria via LeMat-Bulk, functional PBE.

Lattice parameters (Å, degrees): 3.6424 3.6424 7.3848 90.00 90.00 90.00
Positions (direct):
Sc 0.5000 0.5000 0.0000
Dy 0.5000 0.5000 0.5000
In 0.0000 0.0000 0.7673
In 0.0000 0.0000 0.2327

Computed properties:
**Formation energy**: -436 meV/atom

=====

A relaxed PdAuCl4 crystal. Source: Alexandria via LeMat-Bulk, functional PBE.

Lattice parameters (Å, degrees): 7.1024 7.5043 7.8616 105.29 103.07 118.21
Positions (direct):
Pd 0.2496 0.9996 0.9991
Pd 0.7504 0.0004 0.0009
Cl 0.4959 0.3661 0.2403
Cl 0.7490 0.8764 0.2429
Cl 0.9939 0.3665 0.2429
Cl 0.2444 0.8742 0.2403
Cl 0.2510 0.1236 0.7571
Cl 0.7556 0.1258 0.7597
Cl 0.0061 0.6335 0.7571
Cl 0.5041 0.6339 0.7597
Au 0.6344 0.3844 0.7689
Au 0.3656 0.6156 0.2311

Computed properties:
**Energy relative to the elements, uncorrected**: -0.32 eV per atom

=====

no.,mass density (g/cm3)
1,5.44
2,6.78
3,7.41
4,4.56